1.
{
  "formula": "La5Zn4Cu",
  "functional": "PBE",
  "state": "relaxed",
  "lattice_angstrom": [[-1.548, 1.585, 3.034], [-2.940, -2.322, -0.286], [8.687, -12.338, 10.878]],
  "species": ["Zn", "Zn", "Zn", "Zn", "La", "La", "La", "La", "La", "Cu"],
  "frac_coords": [[0.000, 0.000, 0.601], [0.000, 0.000, 0.801], [0.000, 0.000, 0.399], [0.000, 0.000, 0.199], [0.500, 0.500, 0.702], [0.500, 0.500, 0.298], [0.500, 0.500, 0.500], [0.500, 0.500, 0.096], [0.500, 0.500, 0.904], [0.000, 0.000, 0.000]],
  "volume_a3_per_atom": 26.3,
  "formation_energy_kcal_per_mol_atoms": -6.3,
  "space_group": "P4/mmm (123)",
  "dft_energy_ev_per_atom": -3.658
}

2.
{
  "formula": "SrMg2ReSe",
  "functional": "PBE",
  "state": "relaxed",
  "lattice_angstrom": [[-3.219, 3.718, -0.841], [-4.232, -3.793, -0.569], [-0.929, 0.303, 4.893]],
  "species": ["Se", "Sr", "Mg", "Mg", "Re"],
  "frac_coords": [[0.000, 0.000, 0.000], [0.000, 0.500, 0.000], [0.500, 0.000, 0.000], [0.000, 0.000, 0.500], [0.500, 0.500, 0.500]],
  "e_form_raw_mev_per_atom": 708.5,
  "volume_a3_per_atom": 28.4,
  "space_group": "P4/mmm (123)",
  "dft_energy_ev_per_atom": -3.452
}

3.
{
  "formula": "Cu3Sn12As5",
  "functional": "PBE",
  "state": "relaxed",
  "lattice_angstrom": [[-1.858, 13.645, -3.326], [-3.213, -8.069, -11.193], [-8.441, -3.406, 10.856]],
  "species": ["Sn", "Sn", "Sn", "Sn", "Sn", "Sn", "Sn", "Sn", "Sn", "Sn", "Sn", "Sn", "Sn", "Sn", "Sn", "Sn", "Sn", "Sn", "Sn", "Sn", "Sn", "Sn", "Sn", "Sn", "Sn", "Sn", "Sn", "Sn", "Sn", "Sn", "Sn", "Sn", "Sn", "Sn", "Sn", "Sn", "Sn", "Sn", "Sn", "Sn", "Sn", "Sn", "Sn", "Sn", "Sn", "Sn", "Sn", "Sn", "As", "As", "As", "As", "As", "As", "As", "As", "As", "As", "As", "As", "As", "As", "As", "As", "As", "As", "As", "As", "Cu", "Cu", "Cu", "Cu", "Cu", "Cu", "Cu", "Cu", "Cu", "Cu", "Cu", "Cu"],
  "frac_coords": [[0.674, 0.433, 0.561], [0.741, 0.613, 0.174], [0.127, 0.387, 0.061], [0.674, 0.241, 0.613], [0.433, 0.674, 0.061], [0.933, 0.561, 0.174], [0.113, 0.939, 0.373], [0.113, 0.174, 0.241], [0.759, 0.433, 0.373], [0.567, 0.241, 0.127], [0.613, 0.741, 0.674], [0.887, 0.061, 0.627], [0.174, 0.113, 0.741], [0.067, 0.439, 0.826], [0.387, 0.259, 0.326], [0.373, 0.439, 0.113], [0.439, 0.373, 0.613], [0.373, 0.933, 0.759], [0.259, 0.387, 0.826], [0.561, 0.933, 0.674], [0.759, 0.326, 0.887], [0.127, 0.741, 0.567], [0.826, 0.939, 0.067], [0.627, 0.067, 0.241], [0.433, 0.759, 0.873], [0.873, 0.259, 0.433], [0.259, 0.873, 0.933], [0.627, 0.561, 0.887], [0.939, 0.826, 0.567], [0.741, 0.127, 0.067], [0.061, 0.174, 0.433], [0.067, 0.627, 0.741], [0.387, 0.127, 0.561], [0.567, 0.326, 0.939], [0.326, 0.759, 0.387], [0.061, 0.887, 0.127], [0.241, 0.567, 0.627], [0.826, 0.887, 0.259], [0.561, 0.627, 0.387], [0.439, 0.067, 0.326], [0.933, 0.373, 0.259], [0.241, 0.674, 0.113], [0.174, 0.061, 0.933], [0.887, 0.826, 0.759], [0.873, 0.613, 0.939], [0.939, 0.113, 0.873], [0.613, 0.873, 0.439], [0.326, 0.567, 0.439], [0.000, 0.500, 0.000], [0.000, 0.000, 0.500], [0.500, 0.000, 0.000], [0.125, 0.375, 0.250], [0.500, 0.500, 0.000], [0.375, 0.125, 0.750], [0.250, 0.875, 0.125], [0.625, 0.750, 0.875], [0.500, 0.500, 0.500], [0.750, 0.125, 0.875], [0.375, 0.250, 0.125], [0.500, 0.000, 0.500], [0.125, 0.750, 0.375], [0.000, 0.500, 0.500], [0.250, 0.375, 0.625], [0.750, 0.625, 0.375], [0.875, 0.250, 0.625], [0.875, 0.625, 0.750], [0.000, 0.000, 0.000], [0.625, 0.875, 0.250], [0.625, 0.250, 0.375], [0.750, 0.875, 0.625], [0.375, 0.625, 0.250], [0.875, 0.750, 0.125], [0.375, 0.750, 0.625], [0.875, 0.125, 0.250], [0.250, 0.125, 0.375], [0.125, 0.875, 0.750], [0.750, 0.375, 0.125], [0.250, 0.625, 0.875], [0.625, 0.375, 0.750], [0.125, 0.250, 0.875]],
  "volume_a3_per_atom": 27.4,
  "formation_energy_kcal_per_mol_atoms": 2.8,
  "space_group": "Ia-3d (230)",
  "dft_energy_ev_per_atom": -4.056
}

4.
{
  "formula": "Ho4PdSe2S",
  "functional": "PBE",
  "state": "relaxed",
  "lattice_angstrom": [[3.953, 0.000, 0.000], [0.000, 7.036, -0.173], [0.000, 2.446, 6.608]],
  "species": ["Ho", "Ho", "Ho", "Ho", "S", "Se", "Se", "Pd"],
  "frac_coords": [[0.000, 0.735, 0.756], [0.500, 0.738, 0.258], [0.500, 0.262, 0.742], [0.000, 0.265, 0.244], [0.000, 0.500, 0.500], [0.000, 0.000, 0.000], [0.500, 0.000, 0.500], [0.500, 0.500, 0.000]],
  "e_form_raw_mev_per_atom": -1554.6,
  "volume_a3_per_atom": 23.2,
  "space_group": "P2/m (10)",
  "dft_energy_ev_per_atom": -5.880
}

5.
{
  "formula": "RbErAg2Cl8",
  "functional": "PBE",
  "state": "relaxed",
  "lattice_angstrom": [[6.722, 0.000, 0.000], [0.000, 6.722, 0.000], [-3.361, -3.361, 7.444]],
  "species": ["Cl", "Cl", "Cl", "Cl", "Cl", "Cl", "Cl", "Cl", "Rb", "Er", "Ag", "Ag"],
  "frac_coords": [[0.057, 0.974, 0.692], [0.738, 0.265, 0.884], [0.735, 0.853, 0.116], [0.380, 0.262, 0.116], [0.635, 0.718, 0.692], [0.147, 0.620, 0.884], [0.282, 0.943, 0.308], [0.026, 0.365, 0.308], [0.750, 0.250, 0.500], [0.000, 0.000, 0.000], [0.250, 0.750, 0.500], [0.500, 0.500, 0.000]],
  "e_form_raw_mev_per_atom": -1151.4,
  "volume_a3_per_atom": 28.0,
  "space_group": "I-4 (82)",
  "dft_energy_ev_per_atom": -3.319
}

6.
{
  "formula": "K3Hg4Pt",
  "functional": "PBE",
  "state": "relaxed",
  "lattice_angstrom": [[7.167, -0.622, 1.400], [-4.071, 5.931, -1.400], [-1.793, -2.511, 6.648]],
  "species": ["K", "K", "K", "Hg", "Hg", "Hg", "Hg", "Pt"],
  "frac_coords": [[0.566, 0.211, 0.777], [0.566, 0.789, 0.355], [0.954, 0.000, 0.954], [0.538, 0.254, 0.284], [0.241, 0.321, 0.563], [0.030, 0.746, 0.284], [0.241, 0.679, 0.920], [0.015, 0.500, 0.515]],
  "volume_a3_per_atom": 33.5,
  "formation_energy_kcal_per_mol_atoms": -4.5,
  "space_group": "Imm2 (44)",
  "dft_energy_ev_per_atom": -1.514
}

7.
{
  "formula": "LiZnBi",
  "functional": "PBE",
  "state": "relaxed",
  "lattice_angstrom": [[3.648, 0.000, 0.000], [0.000, 4.629, 0.000], [0.000, -2.314, 4.008]],
  "species": ["Zn", "Bi", "Li"],
  "frac_coords": [[0.984, 0.000, 0.000], [0.275, 0.333, 0.667], [0.741, 0.667, 0.333]],
  "volume_a3_per_atom": 22.6,
  "formation_energy_kcal_per_mol_atoms": -2.6,
  "space_group": "P3m1 (156)",
  "dft_energy_ev_per_atom": -2.467
}

8.
{
  "formula": "KBe2AgGe",
  "functional": "PBE",
  "state": "relaxed",
  "lattice_angstrom": [[4.395, 0.000, 0.000], [0.000, 5.482, 0.000], [0.000, 0.000, 4.395]],
  "species": ["Be", "Be", "Ag", "Ge", "K"],
  "frac_coords": [[0.000, 0.000, 0.500], [0.500, 0.000, 0.000], [0.000, 0.500, 0.000], [0.000, 0.000, 0.000], [0.500, 0.500, 0.500]],
  "volume_a3_per_atom": 21.2,
  "formation_energy_kcal_per_mol_atoms": 14.4,
  "space_group": "P4/mmm (123)",
  "dft_energy_ev_per_atom": -2.578
}

9.
{
  "formula": "Sr2HoCd4",
  "functional": "PBE",
  "state": "relaxed",
  "lattice_angstrom": [[-4.788, 2.670, -1.008], [-2.366, -4.814, -1.516], [1.506, -0.063, 8.095]],
  "species": ["Sr", "Sr", "Cd", "Cd", "Cd", "Cd", "Ho"],
  "frac_coords": [[0.262, 0.262, 0.524], [0.738, 0.738, 0.476], [0.605, 0.105, 0.210], [0.895, 0.395, 0.790], [0.105, 0.605, 0.210], [0.395, 0.895, 0.790], [0.000, 0.000, 0.000]],
  "volume_a3_per_atom": 32.1,
  "formation_energy_kcal_per_mol_atoms": -3.6,
  "space_group": "I4/mmm (139)",
  "dft_energy_ev_per_atom": -1.815
}

10.
{
  "formula": "YAlTc2",
  "functional": "PBE",
  "state": "relaxed",
  "lattice_angstrom": [[-3.738, -0.084, 3.115], [-4.641, -1.451, 0.216], [0.359, -4.747, 2.127]],
  "species": ["Y", "Al", "Tc", "Tc"],
  "frac_coords": [[0.750, 0.750, 0.750], [0.250, 0.250, 0.250], [0.988, 0.988, 0.087], [0.512, 0.512, 0.413]],
  "volume_a3_per_atom": 19.3,
  "formation_energy_kcal_per_mol_atoms": 0.0,
  "space_group": "C2/m (12)",
  "dft_energy_ev_per_atom": -7.736
}

11.
{
  "formula": "Re2Rh",
  "functional": "PBE",
  "state": "relaxed",
  "lattice_angstrom": [[6.022, 0.000, 0.000], [0.000, 6.022, 0.000], [0.000, 0.000, 6.022]],
  "species": ["Re", "Re", "Re", "Re", "Re", "Re", "Re", "Re", "Rh", "Rh", "Rh", "Rh"],
  "frac_coords": [[0.609, 0.609, 0.609], [0.609, 0.891, 0.109], [0.109, 0.891, 0.391], [0.391, 0.391, 0.391], [0.391, 0.109, 0.891], [0.891, 0.109, 0.609], [0.891, 0.391, 0.109], [0.109, 0.609, 0.891], [0.000, 0.000, 0.000], [0.500, 0.000, 0.500], [0.500, 0.500, 0.000], [0.000, 0.500, 0.500]],
  "volume_a3_per_atom": 18.2,
  "formation_energy_kcal_per_mol_atoms": 27.0,
  "space_group": "Pa-3 (205)",
  "dft_energy_ev_per_atom": -9.577
}

12.
{
  "formula": "Ca2AcPr7",
  "functional": "PBE",
  "state": "relaxed",
  "lattice_angstrom": [[-3.232, 2.895, 3.730], [-1.102, -0.692, -9.200], [-4.604, -6.909, 5.763]],
  "species": ["Pr", "Pr", "Pr", "Pr", "Pr", "Pr", "Pr", "Ca", "Ca", "Ac"],
  "frac_coords": [[0.254, 0.649, 0.791], [0.000, 0.802, 0.604], [0.254, 0.858, 0.209], [0.000, 0.198, 0.396], [0.746, 0.351, 0.209], [0.500, 0.500, 0.000], [0.746, 0.142, 0.791], [0.500, 0.699, 0.399], [0.500, 0.301, 0.601], [0.000, 0.000, 0.000]],
  "volume_a3_per_atom": 37.6,
  "formation_energy_kcal_per_mol_atoms": 1.9,
  "space_group": "Immm (71)",
  "dft_energy_ev_per_atom": -4.074
}

13.
{
  "formula": "Mg2Si2O5",
  "functional": "PBE",
  "state": "relaxed",
  "lattice_angstrom": [[-0.247, -3.269, -1.608], [3.219, -0.950, 1.438], [-2.866, -2.218, 4.951]],
  "species": ["Mg", "Mg", "O", "O", "O", "O", "O", "Si", "Si"],
  "frac_coords": [[0.000, 0.000, 0.500], [0.000, 0.000, 0.000], [0.500, 0.500, 0.500], [0.500, 0.000, 0.224], [0.000, 0.500, 0.776], [0.500, 0.000, 0.776], [0.000, 0.500, 0.224], [0.500, 0.500, 0.789], [0.500, 0.500, 0.211]],
  "e_form_raw_mev_per_atom": -2072.6,
  "volume_a3_per_atom": 9.1,
  "space_group": "P4/mmm (123)",
  "dft_energy_ev_per_atom": -6.387
}

14.
{
  "formula": "CoNi2Rh",
  "functional": "PBE",
  "state": "relaxed",
  "lattice_angstrom": [[4.441, 0.003, 0.011], [-1.507, 4.177, 0.011], [-0.007, -0.009, 2.581]],
  "species": ["Ni", "Ni", "Co", "Rh"],
  "frac_coords": [[0.000, 0.000, 0.000], [0.500, 0.500, 0.000], [0.000, 0.500, 0.500], [0.500, 0.000, 0.500]],
  "volume_a3_per_atom": 12.0,
  "formation_energy_kcal_per_mol_atoms": 1.0,
  "space_group": "Cmmm (65)",
  "dft_energy_ev_per_atom": -6.463
}

15.
{
  "formula": "Hg2TeI2",
  "functional": "PBE",
  "state": "relaxed",
  "lattice_angstrom": [[7.997, 0.000, 0.000], [-3.999, 6.983, -0.009], [0.000, -3.749, 8.456]],
  "species": ["Hg", "Hg", "Hg", "Hg", "I", "I", "I", "I", "Te", "Te"],
  "frac_coords": [[0.833, 0.665, 0.412], [0.473, 0.946, 0.714], [0.167, 0.335, 0.588], [0.527, 0.054, 0.286], [0.656, 0.311, 0.673], [0.023, 0.046, 0.284], [0.344, 0.689, 0.327], [0.977, 0.954, 0.716], [0.660, 0.320, 0.145], [0.340, 0.680, 0.855]],
  "e_form_raw_mev_per_atom": -181.4,
  "volume_a3_per_atom": 47.2,
  "space_group": "C2/m (12)",
  "dft_energy_ev_per_atom": -1.550
}

16.
{
  "formula": "LaPm5Tl2",
  "functional": "PBE",
  "state": "relaxed",
  "lattice_angstrom": [[5.606, 0.000, 0.000], [-2.803, 4.855, 0.000], [0.000, 0.000, 20.374]],
  "species": ["Pm", "Pm", "Pm", "Pm", "Pm", "Pm", "Pm", "Pm", "Pm", "Pm", "La", "La", "Tl", "Tl", "Tl", "Tl"],
  "frac_coords": [[0.000, 0.000, 0.662], [0.000, 0.000, 0.162], [0.667, 0.333, 0.250], [0.667, 0.333, 0.433], [0.000, 0.000, 0.838], [0.667, 0.333, 0.067], [0.000, 0.000, 0.338], [0.333, 0.667, 0.750], [0.333, 0.667, 0.933], [0.333, 0.667, 0.567], [0.333, 0.667, 0.250], [0.667, 0.333, 0.750], [0.667, 0.333, 0.911], [0.333, 0.667, 0.411], [0.333, 0.667, 0.089], [0.667, 0.333, 0.589]],
  "volume_a3_per_atom": 34.7,
  "formation_energy_kcal_per_mol_atoms": -0.8,
  "space_group": "P6_3/mmc (194)",
  "dft_energy_ev_per_atom": -4.213
}

17.
{
  "formula": "Ag6SCl3",
  "functional": "PBE",
  "state": "relaxed",
  "lattice_angstrom": [[7.347, 0.000, 0.000], [0.000, 7.785, -3.248], [0.000, -1.221, 8.346]],
  "species": ["Ag", "Ag", "Ag", "Ag", "Ag", "Ag", "Ag", "Ag", "Ag", "Ag", "Ag", "Ag", "S", "S", "Cl", "Cl", "Cl", "Cl", "Cl", "Cl"],
  "frac_coords": [[0.683, 0.212, 0.425], [0.276, 0.990, 0.010], [0.776, 0.010, 0.990], [0.183, 0.788, 0.575], [0.229, 0.778, 0.222], [0.183, 0.425, 0.212], [0.055, 0.097, 0.554], [0.555, 0.554, 0.097], [0.729, 0.222, 0.778], [0.683, 0.575, 0.788], [0.055, 0.446, 0.903], [0.555, 0.903, 0.446], [0.536, 0.873, 0.127], [0.036, 0.127, 0.873], [0.534, 0.323, 0.202], [0.034, 0.202, 0.323], [0.900, 0.696, 0.304], [0.034, 0.677, 0.798], [0.534, 0.798, 0.677], [0.400, 0.304, 0.696]],
  "e_form_raw_mev_per_atom": -135.1,
  "volume_a3_per_atom": 22.4,
  "space_group": "Cmc2_1 (36)",
  "dft_energy_ev_per_atom": -2.813
}

18.
{
  "formula": "BaIn",
  "functional": "PBE",
  "state": "relaxed",
  "lattice_angstrom": [[4.204, 0.000, 0.000], [-2.102, 3.641, 0.000], [0.000, 0.000, 5.520]],
  "species": ["Ba", "In"],
  "frac_coords": [[0.000, 0.000, 0.000], [0.333, 0.667, 0.500]],
  "volume_a3_per_atom": 42.2,
  "formation_energy_kcal_per_mol_atoms": -3.3,
  "space_group": "P-6m2 (187)",
  "dft_energy_ev_per_atom": -2.472
}

19.
{
  "formula": "LiHfBeZn2",
  "functional": "PBE",
  "state": "relaxed",
  "lattice_angstrom": [[-0.748, 0.205, 4.133], [4.260, -1.753, 0.857], [1.584, 3.895, 0.094]],
  "species": ["Zn", "Zn", "Be", "Li", "Hf"],
  "frac_coords": [[0.000, 0.000, 0.500], [0.500, 0.000, 0.000], [0.500, 0.500, 0.500], [0.000, 0.000, 0.000], [0.000, 0.500, 0.000]],
  "volume_a3_per_atom": 16.6,
  "formation_energy_kcal_per_mol_atoms": 18.5,
  "space_group": "P4/mmm (123)",
  "dft_energy_ev_per_atom": -2.826
}

20.
{
  "formula": "Tb3Pr4Er4",
  "functional": "PBE",
  "state": "relaxed",
  "lattice_angstrom": [[5.706, 0.000, 0.000], [-2.853, 6.027, 0.000], [0.000, 0.000, 10.733]],
  "species": ["Er", "Er", "Er", "Er", "Pr", "Pr", "Pr", "Pr", "Tb", "Tb", "Tb"],
  "frac_coords": [[0.607, 0.214, 0.500], [0.554, 0.107, 0.000], [0.104, 0.209, 0.696], [0.104, 0.209, 0.304], [0.960, 0.921, 0.000], [0.755, 0.511, 0.791], [0.881, 0.761, 0.500], [0.755, 0.511, 0.209], [0.412, 0.824, 0.713], [0.254, 0.508, 0.000], [0.412, 0.824, 0.287]],
  "volume_a3_per_atom": 33.6,
  "formation_energy_kcal_per_mol_atoms": 3.5,
  "space_group": "Amm2 (38)",
  "dft_energy_ev_per_atom": -4.507
}